A plane-wave DFT calculation with SCAN was carried out for ZrScBe2 at its PBEsol-relaxed geometry.

Calculated values
final energy = -12.906 eV/atom
total magnetic moment = 0.0 μB per formula unit
ΔE to the lowest computed polymorph = 2.34 eV per formula unit

Cell lengths 7.085, 7.085, 5.023 Å; angles 90.00, 90.00, 90.00 degrees
Space group I-42d (No. 122)
One atom of each set of equivalent atoms:
Zr1 0.000 0.000 0.000
Sc1 0.000 0.000 0.500
Be1 0.248 0.750 0.625



A plane-wave DFT calculation with SCAN was carried out for Si2Te at its PBEsol-relaxed geometry.

Calculated values
final energy = -18.619 eV/atom
total magnetic moment = 0.0 μB per formula unit
energy relative to the elements, uncorrected = 1.425 eV per formula unit
ΔE to the lowest computed polymorph = 1.34 eV per formula unit

Cell lengths 3.6472, 3.6472, 10.6320 Å; angles 90.00, 90.00, 120.00 degrees
Space group P6_3/mmc (No. 194)
One atom of each set of equivalent atoms:
Si1 0.3333 0.6667 0.0569
Te1 0.3333 0.6667 0.7500



A plane-wave DFT calculation with SCAN was carried out for PrAlPd at its PBEsol-relaxed geometry.

Calculated values
final energy = -28.841 eV/atom
total magnetic moment = 0.0 μB per formula unit

Cell lengths 7.1623, 7.1623, 4.2132 Å; angles 90.00, 90.00, 120.00 degrees
Space group P-62m (No. 189)
One atom of each set of equivalent atoms:
Pr1 0.0000 0.4205 0.0000
Al1 0.0000 0.7705 0.5000
Pd1 0.0000 0.0000 0.0000
Pd2 0.3333 0.6667 0.5000



A plane-wave DFT calculation with SCAN was carried out for LaMo6Se4S4 at its PBEsol-relaxed geometry.

Calculated values
final energy = -25.714 eV/atom
total magnetic moment = 0.0 μB per formula unit
energy relative to the elements, uncorrected = -14.467 eV per formula unit

Cell lengths 6.569, 6.577, 6.637 Å; angles 90.85, 91.52, 90.17 degrees
Space group P1 (No. 1)
One atom of each set of equivalent atoms:
La1 0.000 0.000 0.000
Mo1 0.240 0.539 0.579
Mo2 0.426 0.211 0.442
Mo3 0.449 0.559 0.233
Mo4 0.570 0.402 0.767
Mo5 0.594 0.756 0.558
Mo6 0.782 0.422 0.422
Se1 0.247 0.859 0.374
Se2 0.391 0.744 0.879
Se3 0.625 0.221 0.121
Se4 0.894 0.609 0.762
S1 0.135 0.360 0.261
S2 0.252 0.225 0.752
S3 0.750 0.114 0.621
S4 0.768 0.736 0.248